# Y3Ho2Ag2, relaxed, DFT PBE-GGA
data_Y3Ho2Ag2
_chemical_formula_sum 'Y3 Ho2 Ag2'
_cell_length_a 3.5679
_cell_length_b 3.5851
_cell_length_c 15.4404
_cell_angle_alpha 96.66
_cell_angle_beta 90.03
_cell_angle_gamma 90.00
_space_group_name_H-M_alt 'P -1'
_space_group_IT_number 2
_space_group_name_Hall '-P 1'
loop_
_atom_site_label
_atom_site_type_symbol
_atom_site_fract_x
_atom_site_fract_y
_atom_site_fract_z
Y1 Y 0.0000 0.0000 0.0000
Y2 Y 0.0002 0.1220 0.2442
Ho1 Ho 0.4994 0.2982 0.5959
Ag1 Ag 0.4999 0.4401 0.8800
# **Energy relative to the elements**: -101.1 meV per atom